Material: CeDyYTc
Method: DFT, GGA-PBE
State: relaxed

Unit cell a=6.9826 b=6.9826 c=6.9826 alpha=37.23 beta=37.23 gamma=37.23
With the nearest neighbours (Å) after each atom.
Fractional positions:
Ce  0.0000  0.0000  0.0000  3 Tc 2.59
Dy  0.7673  0.7673  0.7673  3 Tc 3.09, 3 Ce 3.23
Y  0.5555  0.5555  0.5555  3 Ce 3.36, 3 Dy 3.50, 3 Tc 3.53
Tc  0.3460  0.3460  0.3460  3 Ce 2.59

Properties
**N(E_F)**: 1.293 states/eV per atom
**Final energy**: -6.73 eV/atom
**Space group**: R3m
**DFT formation energy**: 116 meV per atom